# Zr2CrGaFe, optimized geometry, DFT PBE
# Crystal system ... tetragonal
# Formation energy from the elements ... 1.26 eV per atom
# DOS at the Fermi energy ... 9.06 states/eV/cell
# Total DFT energy (no corrections) ... -6.381 eV per atom
data_Zr2CrGaFe
_cell_length_a 4.962
_cell_length_b 4.962
_cell_length_c 4.252
_cell_angle_alpha 90.00
_cell_angle_beta 90.00
_cell_angle_gamma 90.00
_space_group_name_H-M_alt 'P 4/m m m'
_space_group_IT_number 123
_space_group_name_Hall '-P 4 2'
loop_
_atom_site_label
_atom_site_type_symbol
_atom_site_fract_x
_atom_site_fract_y
_atom_site_fract_z
Zr1 Zr 0.000 0.500 0.000
Cr1 Cr 0.000 0.000 0.500
Ga1 Ga 0.000 0.000 0.000
Fe1 Fe 0.500 0.500 0.500